Entry 1:
Material: Dy2BeCo2
Method: DFT, GGA-PBE
State: relaxed

Results
ΔH_f (0 K) = -4.580 kcal/mol of atoms
volume = 84.6 Å³/f.u.
space group = C2/c

Structure (POSCAR):
```
Dy2BeCo2
1.0
5.4058 0.2411 0.0709
2.6580 4.7134 0.0709
1.2819 0.7876 6.8308
Co Dy Be
4 4 2
direct
0.0017 0.7438 0.0082 Co
0.2562 0.9983 0.4918 Co
0.9983 0.2562 0.9918 Co
0.7438 0.0017 0.5082 Co
0.2178 0.4858 0.6491 Dy
0.5142 0.7822 0.8509 Dy
0.4858 0.2178 0.1491 Dy
0.7822 0.5142 0.3509 Dy
0.1061 0.8939 0.2500 Be
0.8939 0.1061 0.7500 Be
```



Entry 2:
Material: Sn3Hg2Pb8
Method: DFT, GGA-PBE
State: relaxed

Results
ΔH_f (0 K) = 2.208 kcal/mol of atoms
volume = 411.5 Å³/f.u.
space group = C2/m

Structure (POSCAR):
```
Sn3Hg2Pb8
1.0
-4.4005 4.0709 -1.7927
-6.3044 -5.5293 2.9191
3.8910 5.5433 5.3995
Pb Sn Hg
8 3 2
direct
0.5576 0.5727 0.7597 Pb
0.0775 0.3963 0.7925 Pb
0.5576 0.1869 0.7597 Pb
0.4424 0.8131 0.2403 Pb
0.7555 0.1986 0.3972 Pb
0.9225 0.6037 0.2075 Pb
0.4424 0.4273 0.2403 Pb
0.2445 0.8014 0.6028 Pb
0.5000 0.0000 0.0000 Sn
0.0000 0.8230 0.0000 Sn
0.0000 0.1770 0.0000 Sn
0.2425 0.1986 0.3973 Hg
0.7575 0.8014 0.6027 Hg
```



Entry 3:
Material: KRb
Method: DFT, GGA-PBE
State: relaxed

Results
ΔH_f (0 K) = 0.205 kcal/mol of atoms
volume = 162.1 Å³/f.u.
space group = P1

Structure (POSCAR):
```
KRb
1.0
-3.5294 -3.1174 -0.6094
-0.8468 -2.7452 3.7859
-5.8203 4.4185 3.1725
K Rb
1 1
direct
0.5198 0.9602 0.9004 K
0.0191 0.4562 0.4004 Rb
```



Entry 4:
Material: AcCuBi3
Method: DFT, GGA-PBE
State: relaxed

Results
ΔH_f (0 K) = -4.053 kcal/mol of atoms
volume = 155.3 Å³/f.u.
space group = Pm-3m

Structure (POSCAR):
```
AcCuBi3
1.0
5.3753 0.0000 0.0000
0.0000 5.3753 0.0000
0.0000 0.0000 5.3753
Bi Ac Cu
3 1 1
direct
0.5000 0.0000 0.0000 Bi
0.0000 0.5000 0.0000 Bi
0.0000 0.0000 0.5000 Bi
0.5000 0.5000 0.5000 Ac
0.0000 0.0000 0.0000 Cu
```



Entry 5:
Material: VGaNiIr
Method: DFT, GGA-PBE
State: relaxed

Results
ΔH_f (0 K) = -9.511 kcal/mol of atoms
volume = 53.0 Å³/f.u.
space group = I-4m2

Structure (POSCAR):
```
VGaNiIr
1.0
-1.3467 -3.6139 -0.0687
2.5473 -0.8970 -2.7539
1.7703 1.3246 3.9069
V Ga Ni Ir
1 1 1 1
direct
0.2500 0.7500 0.5000 V
0.7500 0.2500 0.5001 Ga
0.0000 0.0000 0.0000 Ni
0.5000 0.5000 0.0000 Ir
```



Entry 6:
Material: LaNd6Sm2
Method: DFT, GGA-PBE
State: relaxed

Results
ΔH_f (0 K) = 1.138 kcal/mol of atoms
volume = 315.1 Å³/f.u.
space group = Cmmm

Structure (POSCAR):
```
LaNd6Sm2
1.0
3.1944 0.5623 1.5187
2.9590 9.7114 7.0812
2.0662 1.0761 12.1566
Sm Nd La
2 6 1
direct
0.3337 0.6666 0.6666 Sm
0.6663 0.3334 0.3334 Sm
0.1701 0.0006 0.6642 Nd
0.8299 0.9994 0.3358 Nd
0.5000 0.3339 0.6661 Nd
0.1701 0.6642 0.0006 Nd
0.8299 0.3358 0.9994 Nd
0.5000 0.6661 0.3339 Nd
0.0000 0.0000 0.0000 La
```



Entry 7:
Material: BaH4O2
Method: DFT, GGA-PBE
State: relaxed

Results
VASP energy = -4.43 eV per atom
volume = 139.3 Å³/f.u.
space group = P4_2/mnm

Structure (POSCAR):
```
BaH4O2
1.0
-4.4767 -1.7058 -0.0367
1.5225 -4.1296 6.2262
-2.2485 5.8063 4.4009
H O Ba
8 4 2
direct
0.0000 0.8786 0.2700 H
0.0000 0.2700 0.8786 H
0.5000 0.7700 0.6214 H
0.0000 0.1214 0.7300 H
0.5000 0.6214 0.7700 H
0.0000 0.7300 0.1214 H
0.5000 0.3786 0.2300 H
0.5000 0.2300 0.3786 H
0.0000 0.1400 0.8600 O
0.0000 0.8600 0.1400 O
0.5000 0.3600 0.3600 O
0.5000 0.6400 0.6400 O
0.5000 0.0000 0.0000 Ba
0.0000 0.5000 0.5000 Ba
```



Entry 8:
Material: La2PuBi3
Method: DFT, GGA-PBE
State: relaxed

Results
ΔH_f (0 K) = -18.328 kcal/mol of atoms
volume = 214.0 Å³/f.u.
space group = Immm

Structure (POSCAR):
```
La2PuBi3
1.0
4.6635 0.0000 0.0000
0.0000 6.5842 0.0000
-2.3318 -3.2921 6.9692
Pu Bi La
1 3 2
direct
0.0000 0.5000 0.0000 Pu
0.6608 0.6608 0.3215 Bi
0.0000 0.0000 0.0000 Bi
0.3392 0.3392 0.6785 Bi
0.3321 0.8321 0.6642 La
0.6679 0.1679 0.3358 La
```



Entry 9:
Material: Mn2TlCr
Method: DFT, GGA-PBE
State: relaxed

Results
ΔH_f (0 K) = 9.895 kcal/mol of atoms
volume = 63.7 Å³/f.u.
space group = Pmm2

Structure (POSCAR):
```
Mn2TlCr
1.0
3.1767 0.0000 0.0000
0.0000 3.1890 0.0000
0.0000 0.0000 6.2894
Cr Tl Mn
1 1 2
direct
0.5000 0.5000 0.8035 Cr
0.0000 0.0000 0.4979 Tl
0.0000 0.0000 0.9835 Mn
0.5000 0.5000 0.2151 Mn
```



Entry 10:
Material: Sc2TlCuS4
Method: DFT, GGA-PBE
State: relaxed

Results
volume = 166.1 Å³/f.u.
space group = Cmcm
energy relative to the elements, uncorrected = -1008 kJ/mol of formula units

Structure (POSCAR):
```
Sc2TlCuS4
1.0
3.7846 0.0000 0.0000
-1.8923 6.5792 0.0000
0.0000 0.0000 13.3429
Sc S Tl Cu
4 8 2 2
direct
0.6315 0.2630 0.4354 Sc
0.3685 0.7370 0.9354 Sc
0.6315 0.2630 0.0646 Sc
0.3685 0.7370 0.5646 Sc
0.7421 0.4842 0.6024 S
0.2579 0.5158 0.3976 S
0.0000 0.0000 0.5000 S
0.7421 0.4842 0.8976 S
0.2579 0.5158 0.1024 S
0.5696 0.1391 0.2500 S
0.4304 0.8609 0.7500 S
0.0000 0.0000 0.0000 S
0.8874 0.7749 0.2500 Tl
0.1126 0.2251 0.7500 Tl
0.1691 0.3382 0.2500 Cu
0.8309 0.6618 0.7500 Cu
```



Entry 11:
Material: Pu3GaAg3S8
Method: DFT, GGA-PBE
State: relaxed

Results
volume = 331.6 Å³/f.u.
space group = R-3m
energy relative to the elements, uncorrected = -1302 kJ/mol of formula units

Structure (POSCAR):
```
Pu3GaAg3S8
1.0
-7.8459 1.3741 -0.1165
3.7541 -1.0677 6.9447
1.1465 6.1873 -4.2384
S Ag Ga Pu
8 3 1 3
direct
0.2306 0.4612 0.7283 S
0.2306 0.9978 0.7283 S
0.7694 0.0022 0.2717 S
0.7694 0.5388 0.2717 S
0.7456 0.4912 0.7367 S
0.2328 0.0022 0.2717 S
0.7672 0.9978 0.7283 S
0.2544 0.5088 0.2633 S
0.5000 0.5000 0.0000 Ag
0.0000 0.5000 0.0000 Ag
0.0000 0.0000 0.0000 Ag
0.0000 0.0000 0.5000 Ga
0.5000 0.0000 0.5000 Pu
0.5000 0.5000 0.5000 Pu
0.0000 0.5000 0.5000 Pu
```



Entry 12:
Material: CaIr2Cl
Method: DFT, GGA-PBE
State: relaxed

Results
volume = 80.8 Å³/f.u.
space group = I4/mmm
energy relative to the elements, uncorrected = -78 kJ/mol of formula units

Structure (POSCAR):
```
CaIr2Cl
1.0
6.5853 -0.0060 0.0000
4.5641 4.7472 0.0000
-5.5747 -2.3706 2.5826
Cl Ca Ir
1 1 2
direct
0.7500 0.2500 0.5000 Cl
0.2500 0.7500 0.5000 Ca
0.0000 0.0000 0.0000 Ir
0.5000 0.5000 0.0000 Ir
```